Entry 1:
VASP calculation (GGA-PBE) on Ni2Pb after structural relaxation.

## Properties
total energy = -4.769 eV/atom
space-group type = P-3m1 (164)

Unit cell a=4.107 b=4.106 c=3.249 alpha=90.00 beta=89.98 gamma=119.99
Element x y z (fractional)
Ni  0.333  0.667  0.388
Ni  0.667  0.333  0.612
Pb  0.000  0.000  0.000

Entry 2:
VASP calculation (GGA-PBE) on Ni5Pb4 after structural relaxation.

## Properties
total energy = -4.491 eV/atom
space-group type = P6_3/mcm (193)

Unit cell a=7.945 b=7.945 c=5.857 alpha=90.00 beta=90.00 gamma=120.00
Element x y z (fractional)
Pb  0.000  0.000  0.000
Pb  0.000  0.000  0.500
Pb  0.000  0.377  0.250
Pb  0.623  0.623  0.250
Pb  0.377  0.000  0.250
Pb  0.000  0.623  0.750
Pb  0.377  0.377  0.750
Pb  0.623  0.000  0.750
Ni  0.000  0.700  0.250
Ni  0.300  0.300  0.250
Ni  0.700  0.000  0.250
Ni  0.000  0.300  0.750
Ni  0.700  0.700  0.750
Ni  0.300  0.000  0.750
Ni  0.667  0.333  0.000
Ni  0.333  0.667  0.500
Ni  0.333  0.667  0.000
Ni  0.667  0.333  0.500

Entry 3:
VASP calculation (GGA-PBE) on Ni3Pb5 after structural relaxation.

## Properties
E above lowest polymorph = 0.0 meV/atom
total energy = -4.253 eV/atom
space-group type = P6_3/mcm (193)

Unit cell a=8.049 b=8.049 c=6.375 alpha=90.00 beta=90.00 gamma=120.00
Element x y z (fractional)
Pb  0.333  0.667  0.000
Pb  0.667  0.333  0.500
Pb  0.667  0.333  0.000
Pb  0.333  0.667  0.500
Pb  0.253  0.000  0.250
Pb  0.747  0.000  0.750
Pb  0.000  0.253  0.250
Pb  0.747  0.747  0.250
Pb  0.253  0.253  0.750
Pb  0.000  0.747  0.750
Ni  0.607  0.000  0.250
Ni  0.393  0.000  0.750
Ni  0.000  0.607  0.250
Ni  0.393  0.393  0.250
Ni  0.607  0.607  0.750
Ni  0.000  0.393  0.750

Entry 4:
VASP calculation (GGA-PBE) on Ni2Pb after structural relaxation.

## Properties
total energy = -4.902 eV/atom
space-group type = Immm (71)

Unit cell a=6.019 b=6.019 c=6.019 alpha=145.95 beta=127.22 gamma=64.32
Element x y z (fractional)
Ni  0.765  0.000  0.765
Ni  0.119  0.619  0.500
Ni  0.881  0.381  0.500
Ni  0.235  0.000  0.235
Pb  0.330  0.330  0.000
Pb  0.670  0.670  0.000

Entry 5:
VASP calculation (GGA-PBE) on NiPb3 after structural relaxation.

## Properties
total energy = -3.862 eV/atom
space-group type = P4/mmm (123)

Unit cell a=4.703 b=4.703 c=4.667 alpha=90.00 beta=90.00 gamma=89.94
Element x y z (fractional)
Ni  0.000  0.000  0.000
Pb  0.000  0.500  0.500
Pb  0.500  0.000  0.500
Pb  0.500  0.500  0.000

Entry 6:
VASP calculation (GGA-PBE) on Ni2Pb after structural relaxation.

## Properties
total energy = -4.785 eV/atom
space-group type = P-62m (189)

Unit cell a=7.205 b=7.205 c=3.151 alpha=90.00 beta=90.00 gamma=120.00
Element x y z (fractional)
Ni  0.294  0.000  0.000
Ni  0.000  0.294  0.000
Ni  0.706  0.706  0.000
Ni  0.630  0.000  0.500
Ni  0.000  0.630  0.500
Ni  0.370  0.370  0.500
Pb  0.333  0.667  0.000
Pb  0.667  0.333  0.000
Pb  0.000  0.000  0.500

For reference, E_form by record: 321, 369, 232, 189, 364, 306 meV/atom.